[1]
Here is a geometry-optimized CrCo2Pt structure from Alexandria. Energies are from GGA-PBE.

Cell and atoms, written as CIF:
```
data_CrCo2Pt
_chemical_formula_sum 'Cr1 Co2 Pt1'
_cell_length_a 4.4607
_cell_length_b 2.6231
_cell_length_c 4.5082
_cell_angle_alpha 90.00
_cell_angle_beta 109.58
_cell_angle_gamma 90.00
_symmetry_space_group_name_H-M 'P 1 2/m 1'
_symmetry_Int_Tables_number 10
loop_
_symmetry_equiv_pos_as_xyz
'x,y,z'
'-x,-y,-z'
'-x,y,-z'
'x,-y,z'
loop_
_atom_site_label
_atom_site_type_symbol
_atom_site_fract_x
_atom_site_fract_y
_atom_site_fract_z
_atom_site_occupancy
Cr1 Cr 0.0000 0.0000 0.0000 1
Co1 Co 0.5000 0.0000 0.5000 1
Co2 Co 0.5000 0.5000 0.0000 1
Pt1 Pt 0.0000 0.5000 0.5000 1
```

---

[2]
Here is a geometry-optimized CrCo2Pt structure from Alexandria. Energies are from GGA-PBE.

Cell and atoms, written as CIF:
```
data_CrCo2Pt
_chemical_formula_sum 'Cr1 Co2 Pt1'
_cell_length_a 2.6272
_cell_length_b 3.5932
_cell_length_c 5.2119
_cell_angle_alpha 90.00
_cell_angle_beta 90.00
_cell_angle_gamma 90.00
_symmetry_space_group_name_H-M 'P m m 2'
_symmetry_Int_Tables_number 25
loop_
_symmetry_equiv_pos_as_xyz
'x,y,z'
'-x,-y,z'
'-x,y,z'
'x,-y,z'
loop_
_atom_site_label
_atom_site_type_symbol
_atom_site_fract_x
_atom_site_fract_y
_atom_site_fract_z
_atom_site_occupancy
Cr1 Cr 0.0000 0.0000 0.0000 1
Co1 Co 0.0000 0.0000 0.5522 1
Co2 Co 0.5000 0.5000 0.7689 1
Pt1 Pt 0.5000 0.5000 0.2734 1
```

---

[3]
# CrCoPt2 | Alexandria | GGA-PBE | relaxed
# ΔE to the lowest computed polymorph = 0.0859 eV/atom
data_CrCoPt2
_chemical_formula_sum 'Cr2 Co2 Pt4'
_cell_length_a 5.4362
_cell_length_b 7.5219
_cell_length_c 2.7239
_cell_angle_alpha 90.00
_cell_angle_beta 90.00
_cell_angle_gamma 90.00
_symmetry_space_group_name_H-M 'C m m m'
_symmetry_Int_Tables_number 65
_symmetry_space_group_name_Hall '-C 2 2'
loop_
_atom_site_label
_atom_site_type_symbol
_atom_site_fract_x
_atom_site_fract_y
_atom_site_fract_z
_atom_site_occupancy
Cr1 Cr 0.0000 0.0000 0.0000 1
Co1 Co 0.0000 0.5000 0.0000 1
Pt1 Pt 0.2500 0.2500 0.5000 1

---

[4]
# Cr3CoPt | Alexandria | GGA-PBE | relaxed
# ΔE to the lowest computed polymorph = 0.0000 eV/atom
data_Cr3CoPt
_chemical_formula_sum 'Cr3 Co1 Pt1'
_cell_length_a 4.1787
_cell_length_b 4.1787
_cell_length_c 4.1787
_cell_angle_alpha 90.00
_cell_angle_beta 90.00
_cell_angle_gamma 90.00
_symmetry_space_group_name_H-M 'P m -3 m'
_symmetry_Int_Tables_number 221
_symmetry_space_group_name_Hall '-P 4 2 3'
loop_
_atom_site_label
_atom_site_type_symbol
_atom_site_fract_x
_atom_site_fract_y
_atom_site_fract_z
_atom_site_occupancy
Cr1 Cr 0.0000 0.0000 0.5000 1
Co1 Co 0.0000 0.0000 0.0000 1
Pt1 Pt 0.5000 0.5000 0.5000 1

---

[5]
# CrCoPt2 | Alexandria | GGA-PBE | relaxed
# ΔE to the lowest computed polymorph = 0.0775 eV/atom
data_CrCoPt2
_chemical_formula_sum 'Cr1 Co1 Pt2'
_cell_length_a 2.6998
_cell_length_b 2.6998
_cell_length_c 7.4711
_cell_angle_alpha 90.00
_cell_angle_beta 90.00
_cell_angle_gamma 90.00
_symmetry_space_group_name_H-M 'P 4/m m m'
_symmetry_Int_Tables_number 123
_symmetry_space_group_name_Hall '-P 4 2'
loop_
_atom_site_label
_atom_site_type_symbol
_atom_site_fract_x
_atom_site_fract_y
_atom_site_fract_z
_atom_site_occupancy
Cr1 Cr 0.0000 0.0000 0.0000 1
Co1 Co 0.0000 0.0000 0.5000 1
Pt1 Pt 0.5000 0.5000 0.2474 1

---

[6]
# CrCoSbPt2 | Alexandria | GGA-PBE | relaxed
# formation energy from raw total energies = 0.7843 eV per atom
data_CrCoSbPt2
_chemical_formula_sum 'Cr1 Co1 Sb1 Pt2'
_cell_length_a 4.7115
_cell_length_b 4.7115
_cell_length_c 4.1603
_cell_angle_alpha 90.00
_cell_angle_beta 90.00
_cell_angle_gamma 90.00
_symmetry_space_group_name_H-M 'P 4/m m m'
_symmetry_Int_Tables_number 123
_symmetry_space_group_name_Hall '-P 4 2'
loop_
_atom_site_label
_atom_site_type_symbol
_atom_site_fract_x
_atom_site_fract_y
_atom_site_fract_z
_atom_site_occupancy
Cr1 Cr 0.0000 0.0000 0.0000 1
Co1 Co 0.0000 0.0000 0.5000 1
Sb1 Sb 0.5000 0.5000 0.5000 1
Pt1 Pt 0.0000 0.5000 0.0000 1

---

[7]
# Cr2CoTePt | Alexandria | GGA-PBE | relaxed
# formation energy from raw total energies = 1.2730 eV per atom
data_Cr2CoTePt
_chemical_formula_sum 'Cr2 Co1 Te1 Pt1'
_cell_length_a 4.9101
_cell_length_b 4.9101
_cell_length_c 5.1177
_cell_angle_alpha 90.00
_cell_angle_beta 90.00
_cell_angle_gamma 90.00
_symmetry_space_group_name_H-M 'P 4/m m m'
_symmetry_Int_Tables_number 123
_symmetry_space_group_name_Hall '-P 4 2'
loop_
_atom_site_label
_atom_site_type_symbol
_atom_site_fract_x
_atom_site_fract_y
_atom_site_fract_z
_atom_site_occupancy
Cr1 Cr 0.0000 0.5000 0.0000 1
Co1 Co 0.0000 0.0000 0.5000 1
Te1 Te 0.5000 0.5000 0.5000 1
Pt1 Pt 0.5000 0.5000 0.0000 1

---

[8]
Here is a geometry-optimized TiCrCo2Pt structure from Alexandria. Energies are from GGA-PBE.

Cell and atoms, written as CIF:
```
data_TiCrCo2Pt
_chemical_formula_sum 'Ti1 Cr1 Co2 Pt1'
_cell_length_a 4.1518
_cell_length_b 4.1518
_cell_length_c 4.7075
_cell_angle_alpha 90.00
_cell_angle_beta 90.00
_cell_angle_gamma 90.00
_symmetry_space_group_name_H-M 'P 4/m m m'
_symmetry_Int_Tables_number 123
_symmetry_space_group_name_Hall '-P 4 2'
loop_
_atom_site_label
_atom_site_type_symbol
_atom_site_fract_x
_atom_site_fract_y
_atom_site_fract_z
_atom_site_occupancy
Ti1 Ti 0.0000 0.0000 0.0000 1
Cr1 Cr 0.5000 0.5000 0.5000 1
Co1 Co 0.0000 0.5000 0.0000 1
Pt1 Pt 0.0000 0.0000 0.5000 1
```

---

no.,electronic total energy (eV per atom)
1,-7.4202
2,-7.5167
3,-7.3274
4,-7.3898
5,-7.3358
6,-5.8024
7,-5.8340
8,-6.3501